Entry 1:
Density functional theory data (PBEsol) for a relaxed Li10GeP2S12 crystal.

Cell lengths 8.445, 8.822, 12.688 Å; angles 93.08, 90.30, 90.02 degrees
Fractional coordinates of all 50 atoms:
Li 0.000 0.000 0.000
Li 0.002 0.471 0.076
Li 0.008 0.487 0.650
Li 0.029 0.004 0.727
Li 0.213 0.701 0.924
Li 0.232 0.711 0.402
Li 0.458 0.401 0.598
Li 0.472 0.992 0.985
Li 0.475 0.961 0.439
Li 0.483 0.459 0.346
Li 0.484 0.006 0.706
Li 0.489 0.474 0.105
Li 0.495 0.500 0.868
Li 0.506 0.939 0.199
Li 0.713 0.704 0.607
Li 0.738 0.233 0.299
Li 0.755 0.252 0.803
Li 0.970 0.965 0.487
Li 0.982 0.956 0.220
Li 0.992 0.460 0.341
Ge 0.241 0.737 0.168
Ge 0.750 0.233 0.537
P 0.238 0.256 0.848
P 0.252 0.735 0.666
P 0.734 0.212 0.042
P 0.734 0.704 0.363
S 0.020 0.755 0.076
S 0.042 0.277 0.758
S 0.055 0.725 0.759
S 0.230 0.041 0.902
S 0.239 0.553 0.559
S 0.241 0.515 0.244
S 0.246 0.936 0.590
S 0.251 0.930 0.290
S 0.254 0.426 0.965
S 0.442 0.272 0.762
S 0.448 0.746 0.062
S 0.457 0.734 0.755
S 0.525 0.232 0.443
S 0.536 0.193 0.133
S 0.537 0.686 0.455
S 0.733 0.430 0.654
S 0.734 0.914 0.304
S 0.735 0.527 0.251
S 0.736 0.420 0.978
S 0.739 0.040 0.927
S 0.757 0.021 0.628
S 0.931 0.685 0.457
S 0.935 0.203 0.135
S 0.959 0.229 0.434

Output
* ΔE to the lowest computed polymorph: 0.0000 eV/atom
* space-group type: No. 1
* size of the total moment: 0.000 μB/atom



Entry 2:
Density functional theory data (PBEsol) for a relaxed Li2ScGeP crystal.

Cell lengths 4.289, 4.289, 5.078 Å; angles 90.00, 90.00, 90.00 degrees
Fractional coordinates of all 5 atoms:
Li 0.000 0.500 0.000
Li 0.500 0.000 0.000
Sc 0.000 0.000 0.500
Ge 0.500 0.500 0.500
P 0.500 0.500 0.000

Output
* formation enthalpy at 0 K: -44.4 meV per atom
* space-group type: No. 123
* size of the total moment: 0.000 μB/atom



Entry 3:
Density functional theory data (PBEsol) for a relaxed LiTi2GeP crystal.

Cell lengths 4.533, 4.533, 4.804 Å; angles 90.00, 90.00, 90.00 degrees
Fractional coordinates of all 5 atoms:
Li 0.000 0.000 0.000
Ti 0.000 0.500 0.500
Ti 0.500 0.000 0.500
Ge 0.500 0.500 0.000
P 0.500 0.500 0.500

Output
* formation enthalpy at 0 K: 134.2 meV per atom
* space-group type: No. 123
* size of the total moment: 0.000 μB/atom



Entry 4:
Density functional theory data (PBEsol) for a relaxed Li2Ge2Pb crystal.

Cell lengths 7.778, 7.778, 3.132 Å; angles 90.00, 90.00, 90.00 degrees
Fractional coordinates of all 10 atoms:
Li 0.183 0.317 0.000
Li 0.317 0.817 0.000
Li 0.683 0.183 0.000
Li 0.817 0.683 0.000
Ge 0.113 0.613 0.500
Ge 0.387 0.113 0.500
Ge 0.613 0.887 0.500
Ge 0.887 0.387 0.500
Pb 0.000 0.000 0.500
Pb 0.500 0.500 0.500

Output
* formation enthalpy at 0 K: -186.1 meV per atom
* space-group type: No. 127
* size of the total moment: 0.000 μB/atom



Entry 5:
Density functional theory data (PBEsol) for a relaxed Li3GePb crystal.

Cell lengths 4.741, 4.741, 4.741 Å; angles 90.00, 90.00, 90.00 degrees
Fractional coordinates of all 5 atoms:
Li 0.000 0.000 0.500
Li 0.000 0.500 0.000
Li 0.500 0.000 0.000
Ge 0.000 0.000 0.000
Pb 0.500 0.500 0.500

Output
* formation enthalpy at 0 K: -3.1 meV per atom
* space-group type: No. 221
* size of the total moment: 0.000 μB/atom



Entry 6:
Density functional theory data (PBEsol) for a relaxed LiGe3Pb crystal.

Cell lengths 5.438, 5.438, 5.438 Å; angles 90.00, 90.00, 90.00 degrees
Fractional coordinates of all 5 atoms:
Li 0.000 0.000 0.000
Ge 0.000 0.500 0.500
Ge 0.500 0.000 0.500
Ge 0.500 0.500 0.000
Pb 0.500 0.500 0.500

Output
* formation enthalpy at 0 K: 918.3 meV per atom
* space-group type: No. 221
* size of the total moment: 0.000 μB/atom